Record 1
DFT (PBE) results for crystalline BaZr2In at its relaxed geometry.

The formation energy is 0.37 eV/atom.

Cell lengths 5.818, 5.818, 5.818 Å; angles 131.44, 131.44, 71.12 degrees
Atoms (fractional coordinates):
1 Zr 0.500 0.500 0.000
2 Ba 0.250 0.750 0.500
3 Zr 0.000 0.000 0.000
4 In 0.750 0.250 0.500

***

Record 2
DFT (PBE) results for crystalline TbBePt3 at its relaxed geometry.

The formation energy is -0.96 eV/atom. For the energy above the most stable polymorph in this dataset, the calculation gives 0 meV per atom.

Cell lengths 6.038, 5.414, 5.744 Å; angles 90.00, 90.00, 62.22 degrees
Atoms (fractional coordinates):
1 Pt 0.509 0.237 0.808
2 Be 0.732 0.872 0.052
3 Be 0.829 0.094 0.552
4 Pt 0.509 0.237 0.297
5 Pt 0.052 0.728 0.308
6 Pt 0.455 0.716 0.052
7 Pt 0.052 0.728 0.797
8 Tb 0.573 0.709 0.552
9 Tb 0.988 0.256 0.052
10 Pt 0.105 0.250 0.552

***

| no. | total DFT energy (no corrections) (eV per cell) | magnetization (μB/f.u.) |
| --- | --- | --- |
| 1 | -20.28 | 0.00 |
| 2 | -62.58 | 0.00 |